{"formula": "Er2Ga4AgPd3", "functional": "PBE", "state": "relaxed", "lattice": [[4.0363, 0.0000, 0.0000], [0.0000, 4.0363, 0.0000], [0.0000, 0.0000, 11.5223]], "species": ["Er", "Er", "Ga", "Ga", "Ga", "Ga", "Ag", "Pd", "Pd", "Pd"], "frac_coords": [[0.0000, 0.5000, 0.2436], [0.5000, 0.0000, 0.7564], [0.0000, 0.0000, 0.0000], [0.0000, 0.5000, 0.6419], [0.5000, 0.0000, 0.3581], [0.5000, 0.5000, 0.0000], [0.0000, 0.0000, 0.5000], [0.0000, 0.5000, 0.8571], [0.5000, 0.0000, 0.1429], [0.5000, 0.5000, 0.5000]], "dos_ef_per_ev_cell": 5.1, "magmom_total_mub_per_cell": 0.00, "final_energy_ev_per_atom": -4.627, "mass_density_g_cm3": 9.204}